LiAcTe4Pb2 | GGA-PBE | optimized geometry

Unit cell a=7.9405 b=7.9405 c=15.8183 alpha=90.00 beta=90.00 gamma=146.55
Fractional positions:
1 Li 0.1483 0.8517 0.7500
2 Li 0.8517 0.1483 0.2500
3 Ac 0.1173 0.8827 0.2500
4 Ac 0.8827 0.1173 0.7500
5 Te 0.0000 0.0000 0.0000
6 Te 0.0000 0.0000 0.5000
7 Te 0.2790 0.7210 0.6256
8 Te 0.2790 0.7210 0.8744
9 Te 0.4564 0.5436 0.2500
10 Te 0.5436 0.4564 0.7500
11 Te 0.7210 0.2790 0.1256
12 Te 0.7210 0.2790 0.3744
13 Pb 0.3685 0.6315 0.0578
14 Pb 0.3685 0.6315 0.4422
15 Pb 0.6315 0.3685 0.5578
16 Pb 0.6315 0.3685 0.9422

Results
- SG = Cmcm, No. 63
- crystal system = orthorhombic
- energy (eV per atom) = -4.105

***

InPd5Se2 | GGA-PBE | optimized geometry

Unit cell a=10.0064 b=10.0064 c=10.0064 alpha=156.73 beta=156.73 gamma=33.14
Fractional positions:
1 In 0.0000 0.0000 0.0000
2 Pd 0.1065 0.6065 0.5000
3 Pd 0.3935 0.8935 0.5000
4 Pd 0.5000 0.5000 0.0000
5 Pd 0.6065 0.1065 0.5000
6 Pd 0.8935 0.3935 0.5000
7 Se 0.3169 0.3169 0.0000
8 Se 0.6831 0.6831 0.0000

Results
- SG = I4/mmm, No. 139
- crystal system = tetragonal
- energy (eV per atom) = -4.853

***

LiBeMo2 | GGA-PBE | optimized geometry

Unit cell a=4.7475 b=4.7475 c=4.6130 alpha=103.17 beta=103.17 gamma=31.62
Fractional positions:
1 Li 0.0000 0.0000 0.0000
2 Be 0.2815 0.2815 0.7520
3 Mo 0.5463 0.5463 0.5274
4 Mo 0.7655 0.7655 0.2465

Results
- SG = Cm, No. 8
- crystal system = monoclinic
- E above lowest polymorph (meV per atom) = 95
- energy (eV per atom) = -6.497
- energy of formation from the pure elements (eV per atom) = 0.328

***

Sc2Be2Cd | GGA-PBE | optimized geometry

Unit cell a=6.7151 b=6.7151 c=3.7608 alpha=90.00 beta=90.00 gamma=90.00
Fractional positions:
1 Sc 0.1691 0.3309 0.0000
2 Sc 0.3309 0.8309 0.0000
3 Sc 0.6691 0.1691 0.0000
4 Sc 0.8309 0.6691 0.0000
5 Be 0.1179 0.6179 0.5000
6 Be 0.3821 0.1179 0.5000
7 Be 0.6179 0.8821 0.5000
8 Be 0.8821 0.3821 0.5000
9 Cd 0.0000 0.0000 0.5000
10 Cd 0.5000 0.5000 0.5000

Results
- SG = P4/mbm, No. 127
- crystal system = tetragonal
- energy (eV per atom) = -4.326
- energy of formation from the pure elements (eV per atom) = -0.120